# AcTb2Pr3S6 | the Alexandria database | PBE | relaxed
data_AcTb2Pr3S6
_space_group_name_H-M_alt 'P 1'
_space_group_IT_number 1
_space_group_name_Hall 'P 1'
_cell_length_a 7.075
_cell_length_b 7.075
_cell_length_c 7.080
_cell_angle_alpha 99.64
_cell_angle_beta 99.64
_cell_angle_gamma 120.08
loop_
_atom_site_label
_atom_site_type_symbol
_atom_site_fract_x
_atom_site_fract_y
_atom_site_fract_z
Ac1 Ac 0.000 0.000 0.000
Tb1 Tb 0.333 0.667 0.000
Tb2 Tb 0.667 0.333 0.000
Pr1 Pr 0.161 0.839 0.500
Pr2 Pr 0.839 0.161 0.500
Pr3 Pr 0.500 0.500 0.500
S1 S 0.919 0.570 0.756
S2 S 0.730 0.730 0.238
S3 S 0.081 0.430 0.244
S4 S 0.570 0.919 0.756
S5 S 0.270 0.270 0.762
S6 S 0.430 0.081 0.244
# DOS at the Fermi energy   0.425 states/eV/atom
# Formation energy (no corrections)   -2000.4 meV/atom

# AcPrTeS | the Alexandria database | PBE | relaxed
data_AcPrTeS
_space_group_name_H-M_alt 'P 1'
_space_group_IT_number 1
_space_group_name_Hall 'P 1'
_cell_length_a 5.006
_cell_length_b 5.006
_cell_length_c 10.563
_cell_angle_alpha 90.00
_cell_angle_beta 90.00
_cell_angle_gamma 90.00
loop_
_atom_site_label
_atom_site_type_symbol
_atom_site_fract_x
_atom_site_fract_y
_atom_site_fract_z
Ac1 Ac 0.000 0.500 0.858
Ac2 Ac 0.500 0.000 0.142
Pr1 Pr 0.000 0.000 0.500
Pr2 Pr 0.500 0.500 0.500
Te1 Te 0.500 0.000 0.696
Te2 Te 0.000 0.500 0.304
S1 S 0.500 0.500 0.000
S2 S 0.000 0.000 0.000
# DOS at the Fermi energy   0.597 states/eV/atom
# Formation energy (no corrections)   -1487.0 meV/atom

How do the records compare in total energy? In the order shown, they have -76.48; -22.10 eV per formula unit.